A:
A relaxed NaZr2I crystal, computed with PBE.

Output
SG = No. 122

Unit cell a=8.4308 b=8.4308 c=6.6710 alpha=50.81 beta=50.81 gamma=90.00
With the nearest neighbours (Å) after each atom.
Fractional coordinates of all 8 atoms:
I  0.0000  0.0000  0.0000  4 Zr 2.87, 2 Na 2.99
I  0.7500  0.2500  0.5000  4 Zr 2.87, 2 Na 2.99
Na  0.5000  0.5000  0.0000  2 I 2.99, 4 Zr 3.30
Na  0.2500  0.7500  0.5000  2 I 2.99, 4 Zr 3.30
Zr  0.6625  0.1250  0.2500  2 I 2.87, 2 Zr 3.06
Zr  0.0875  0.6250  0.2500  2 I 2.87, 2 Zr 3.06
Zr  0.3750  0.3375  0.7500  2 I 2.87, 2 Zr 3.06
Zr  0.8750  0.9125  0.7500  2 I 2.87, 2 Zr 3.06


B:
A relaxed NaZr2I crystal, computed with PBE.

Output
SG = No. 225

Unit cell a=5.0986 b=5.0986 c=5.0986 alpha=60.00 beta=60.00 gamma=60.00
With the nearest neighbours (Å) after each atom.
Fractional coordinates of all 4 atoms:
I  0.5000  0.5000  0.5000  8 Zr 3.12
Na  0.0000  0.0000  0.0000  8 Zr 3.12
Zr  0.2500  0.2500  0.2500  4 I 3.12, 4 Na 3.12
Zr  0.7500  0.7500  0.7500  4 I 3.12, 4 Na 3.12


A has the most favorable energy; the next structure is 0.033 eV/atom above.


A:
A relaxed Nb3NiI crystal, computed with PBE.

Output
SG = No. 221

Unit cell a=4.7225 b=4.7225 c=4.7225 alpha=90.00 beta=90.00 gamma=90.00
With the nearest neighbours (Å) after each atom.
Fractional coordinates of all 5 atoms:
I  0.5000  0.5000  0.5000  12 Nb 3.34
Ni  0.0000  0.0000  0.0000  6 Nb 2.36
Nb  0.0000  0.5000  0.0000  2 Ni 2.36
Nb  0.0000  0.0000  0.5000  2 Ni 2.36
Nb  0.5000  0.0000  0.0000  2 Ni 2.36


B:
A relaxed Nb3NiI crystal, computed with PBE.

Output
SG = No. 221

Unit cell a=4.9944 b=4.9944 c=4.9944 alpha=90.00 beta=90.00 gamma=90.00
With the nearest neighbours (Å) after each atom.
Fractional coordinates of all 5 atoms:
I  0.0000  0.0000  0.0000  6 Nb 2.50
Ni  0.5000  0.5000  0.5000  12 Nb 3.53
Nb  0.0000  0.5000  0.0000  2 I 2.50
Nb  0.0000  0.0000  0.5000  2 I 2.50
Nb  0.5000  0.0000  0.0000  2 I 2.50


A has the most favorable energy; the next structure is 1.085 eV/atom above.


A:
A relaxed NbNiI2 crystal, computed with PBE.

Output
SG = No. 122

Unit cell a=6.2894 b=6.2894 c=7.2416 alpha=64.26 beta=64.26 gamma=90.00
With the nearest neighbours (Å) after each atom.
Fractional coordinates of all 8 atoms:
I  0.5854  0.1250  0.2500  2 Ni 2.50, 2 Nb 2.80
I  0.1646  0.6250  0.2500  2 Ni 2.50, 2 Nb 2.80
I  0.3750  0.4146  0.7500  2 Ni 2.50, 2 Nb 2.80
I  0.8750  0.8354  0.7500  2 Ni 2.50, 2 Nb 2.80
Ni  0.5000  0.5000  0.0000  4 I 2.50
Ni  0.2500  0.7500  0.5000  4 I 2.50
Nb  0.0000  0.0000  0.0000  4 I 2.80
Nb  0.7500  0.2500  0.5000  4 I 2.80


B:
A relaxed NbNiI2 crystal, computed with PBE.

Output
SG = No. 166

Unit cell a=3.6724 b=3.6724 c=8.8762 alpha=78.06 beta=78.06 gamma=60.00
With the nearest neighbours (Å) after each atom.
Fractional coordinates of all 4 atoms:
I  0.1047  0.1047  0.6858  3 Ni 2.66, 1 Nb 2.71
I  0.8953  0.8953  0.3142  3 Ni 2.66, 1 Nb 2.71
Ni  0.5000  0.5000  0.5000  6 I 2.66
Nb  0.0000  0.0000  0.0000  2 I 2.71


C:
A relaxed NbNiI2 crystal, computed with PBE.

Output
SG = No. 225

Unit cell a=4.8814 b=4.8814 c=4.8814 alpha=60.00 beta=60.00 gamma=60.00
With the nearest neighbours (Å) after each atom.
Fractional coordinates of all 4 atoms:
I  0.2500  0.2500  0.2500  4 Nb 2.99, 4 Ni 2.99
I  0.7500  0.7500  0.7500  4 Ni 2.99, 4 Nb 2.99
Ni  0.0000  0.0000  0.0000  8 I 2.99
Nb  0.5000  0.5000  0.5000  8 I 2.99


A has the most favorable energy; the next structure is 0.100 eV/atom above.